# 1
## TiIrF2 (GGA-PBE)

Data for crystalline TiIrF2 at its relaxed geometry.

Lattice parameters (Å, degrees): 10.0754 10.0754 10.0754 15.22 15.22 15.22
Site moments in Bohr magnetons follow the coordinates.
Fractional coordinates of all 4 atoms:
F: 0.8800 0.8800 0.8800  0.00
F: 0.1200 0.1200 0.1200  0.00
Ir: 0.0000 0.0000 0.0000  0.62
Ti: 0.5000 0.5000 0.5000  0.01

Computed properties:
Offset from the most stable computed form (meV/atom): 0
Raw formation energy (eV per atom): -1.541
Magnetization (μB per formula unit): 0.669
SG: R-3m (166)


# 2
## CoSiAgBi2 (GGA-PBE)

Data for crystalline CoSiAgBi2 at its relaxed geometry.

Lattice parameters (Å, degrees): 5.6049 4.5832 5.6049 90.00 90.00 90.00
Site moments in Bohr magnetons follow the coordinates.
Fractional coordinates of all 5 atoms:
Si: 0.0000 0.5000 0.0000  -0.02
Co: 0.5000 0.5000 0.5000  2.03
Bi: 0.0000 0.0000 0.5000  -0.06
Bi: 0.5000 0.0000 0.0000  -0.05
Ag: 0.0000 0.0000 0.0000  0.00

Computed properties:
Raw formation energy (eV per atom): 1.199
Magnetization (μB per formula unit): 1.879
SG: P4/mmm (123)


# 3
## MnCd2Cu2Pd5 (GGA-PBE)

Data for crystalline MnCd2Cu2Pd5 at its relaxed geometry.

Lattice parameters (Å, degrees): 3.8800 9.1764 9.1764 90.00 90.00 90.00
Site moments in Bohr magnetons follow the coordinates.
Fractional coordinates of all 20 atoms:
Mn: 0.0000 0.0000 0.0000  4.09
Mn: 0.0000 0.5000 0.5000  4.09
Cd: 0.0000 0.6711 0.1711  0.00
Cd: 0.0000 0.3289 0.8289  0.00
Cd: 0.0000 0.1711 0.3289  0.00
Cd: 0.0000 0.8289 0.6711  0.00
Cu: 0.0000 0.1250 0.6250  0.01
Cu: 0.0000 0.8750 0.3750  0.01
Cu: 0.0000 0.6250 0.8750  0.01
Cu: 0.0000 0.3750 0.1250  0.01
Pd: 0.5000 0.1962 0.0794  0.12
Pd: 0.5000 0.8038 0.9206  0.12
Pd: 0.5000 0.0794 0.8038  0.12
Pd: 0.5000 0.6962 0.4206  0.12
Pd: 0.5000 0.9206 0.1962  0.12
Pd: 0.5000 0.3038 0.5794  0.12
Pd: 0.5000 0.5794 0.6962  0.12
Pd: 0.5000 0.4206 0.3038  0.12
Pd: 0.5000 0.5000 0.0000  0.04
Pd: 0.5000 0.0000 0.5000  0.04

Computed properties:
Energy of formation from the pure elements (eV per atom): -0.135
Magnetization (μB per formula unit): 4.872
SG: P4/mbm (127)


# 4
## SmHoCuHg (GGA-PBE)

Data for crystalline SmHoCuHg at its relaxed geometry.

Lattice parameters (Å, degrees): 3.5772 3.5772 7.4734 90.00 90.00 90.00
Fractional coordinates of all 4 atoms:
Sm: 0.5000 0.5000 0.1274
Ho: 0.5000 0.5000 0.5835
Cu: 0.0000 0.0000 0.3720
Hg: 0.0000 0.0000 0.8451

Computed properties:
Energy of formation from the pure elements (eV per atom): -0.339
Offset from the most stable computed form (meV/atom): 0
Magnetization (μB per formula unit): 0.001
SG: P4mm (99)


Per-record density, g/cm³: 7.520 7.068 9.544 10.061
Per-record D(E_F), states/eV per atom: 0.8216 0.9163 0.3597 1.0469